[1]
Here is a relaxed ThGe2Pd7 crystal from Alexandria via LeMat-Bulk. Energies are from GGA-PBE.

Unit cell a=4.5453 b=7.1202 c=7.1202 alpha=117.39 beta=90.00 gamma=90.00
Sites, in units of the cell vectors:
Pd 0.5000 0.3087 0.0634
Pd 0.0000 0.2302 0.7698
Pd 0.5000 0.0634 0.3087
Pd 0.5000 0.5000 0.5000
Pd 0.0000 0.7698 0.2302
Pd 0.5000 0.6913 0.9366
Pd 0.5000 0.9366 0.6913
Th 0.0000 0.0000 0.0000
Ge 0.5000 0.6966 0.3034
Ge 0.5000 0.3034 0.6966

Computed properties:
Its relative energy among the computed polymorphs is 269 meV per atom. The density of states at the Fermi level comes out at 0.495 states/eV per atom. Its crystal system is orthorhombic. The calculation puts the total energy at -5.680 eV/atom. The space group is Cmmm.

***

[2]
Here is a relaxed Th2Ge4Pd3 crystal from Alexandria via LeMat-Bulk. Energies are from GGA-PBE.

Unit cell a=5.9279 b=7.7489 c=8.1579 alpha=90.00 beta=111.30 gamma=90.00
Sites, in units of the cell vectors:
Pd 0.5295 0.7500 0.5590
Pd 0.4705 0.2500 0.4410
Pd 0.9705 0.2500 0.4410
Pd 0.0295 0.7500 0.5590
Pd 0.0000 0.0000 0.0000
Pd 0.5000 0.5000 0.0000
Ge 0.6804 0.5259 0.3607
Ge 0.3196 0.4741 0.6393
Ge 0.6976 0.7500 0.8952
Ge 0.8024 0.2500 0.1048
Ge 0.3024 0.2500 0.1048
Ge 0.1976 0.7500 0.8952
Ge 0.8196 0.0259 0.6393
Ge 0.1804 0.9741 0.3607
Th 0.6131 0.9134 0.2261
Th 0.1131 0.5866 0.2261
Th 0.3869 0.0866 0.7739
Th 0.8869 0.4134 0.7739

Computed properties:
The density of states at the Fermi level comes out at 0.520 states/eV per atom. Its crystal system is orthorhombic. The calculation puts the total energy at -6.161 eV/atom. The space group is Cmce.

***

[3]
Here is a relaxed ThGe2Pd crystal from Alexandria via LeMat-Bulk. Energies are from GGA-PBE.

Unit cell a=4.4470 b=8.7696 c=9.7773 alpha=116.65 beta=103.14 gamma=90.00
Sites, in units of the cell vectors:
Ge 0.0727 0.5727 0.1455
Ge 0.9271 0.9271 0.8541
Ge 0.6937 0.3425 0.3875
Ge 0.0729 0.0729 0.1459
Ge 0.6937 0.0450 0.3875
Ge 0.9273 0.4273 0.8545
Ge 0.3063 0.6575 0.6125
Ge 0.3063 0.9550 0.6125
Pd 0.8511 0.6020 0.7022
Pd 0.1489 0.3980 0.2978
Pd 0.1489 0.8998 0.2978
Pd 0.8511 0.1002 0.7022
Th 0.5000 0.7510 0.0000
Th 0.7026 0.7026 0.4052
Th 0.2974 0.2974 0.5948
Th 0.5000 0.2490 0.0000

Computed properties:
The density of states at the Fermi level comes out at 0.391 states/eV per atom. Its crystal system is orthorhombic. The calculation puts the total energy at -6.209 eV/atom. The space group is Immm.

***

[4]
Here is a relaxed ThGePd2 crystal from Alexandria via LeMat-Bulk. Energies are from GGA-PBE.

Unit cell a=4.3653 b=4.3653 c=5.5150 alpha=66.69 beta=66.69 gamma=60.00
Sites, in units of the cell vectors:
Pd 0.2172 0.2172 0.3485
Pd 0.7828 0.7828 0.6515
Th 0.0000 0.0000 0.0000
Ge 0.5000 0.5000 0.5000

Computed properties:
The density of states at the Fermi level comes out at 0.500 states/eV per atom. Its crystal system is trigonal. The calculation puts the total energy at -6.360 eV/atom. The space group is R-3m.